*one*
A plane-wave DFT calculation with GGA-PBE was carried out for TeO3 after structural relaxation.

CIF file:
```
data_TeO3
_chemical_formula_sum 'Te2 O6'
_symmetry_space_group_name_H-M 'P 63 2 2'
_symmetry_Int_Tables_number 182
_symmetry_space_group_name_Hall 'P 6c 2c'
_cell_length_a 4.8484
_cell_length_b 4.8484
_cell_length_c 4.5135
_cell_angle_alpha 90.00
_cell_angle_beta 90.00
_cell_angle_gamma 120.00
loop_
_atom_site_label
_atom_site_fract_x
_atom_site_fract_y
_atom_site_fract_z
Te1 0.3333 0.6667 0.2500
O1 0.0000 0.3368 0.0000
```

size of the total moment = 0.000 Bohr magnetons per cell
D(E_F) = 9.078 states/eV/cell



*two*
A plane-wave DFT calculation with GGA-PBE was carried out for TeO3 after structural relaxation.

CIF file:
```
data_TeO3
_chemical_formula_sum 'Te4 O12'
_symmetry_space_group_name_H-M 'P n n a'
_symmetry_Int_Tables_number 52
_cell_length_a 5.2243
_cell_length_b 4.9368
_cell_length_c 8.4552
_cell_angle_alpha 90.00
_cell_angle_beta 90.00
_cell_angle_gamma 90.00
loop_
_symmetry_equiv_pos_as_xyz
'x,y,z'
'-x,-y,-z'
'-x+1/2,-y,z'
'x+1/2,y,-z'
'x,-y+1/2,-z+1/2'
'-x,y+1/2,z+1/2'
'-x+1/2,y+1/2,-z+1/2'
'x+1/2,-y+1/2,z+1/2'
loop_
_atom_site_label
_atom_site_fract_x
_atom_site_fract_y
_atom_site_fract_z
Te1 0.2500 0.0000 0.0923
O1 0.0646 0.2117 0.9261
O2 0.1128 0.2500 0.2500
```

size of the total moment = 0.000 Bohr magnetons per cell



*three*
A plane-wave DFT calculation with GGA-PBE was carried out for TeO3 after structural relaxation.

CIF file:
```
data_TeO3
_chemical_formula_sum 'Te2 O6'
_symmetry_space_group_name_H-M 'P 63/m m c'
_symmetry_Int_Tables_number 194
_symmetry_space_group_name_Hall '-P 6c 2c'
_cell_length_a 3.7693
_cell_length_b 3.7693
_cell_length_c 11.8929
_cell_angle_alpha 90.00
_cell_angle_beta 90.00
_cell_angle_gamma 120.00
loop_
_atom_site_label
_atom_site_fract_x
_atom_site_fract_y
_atom_site_fract_z
Te1 0.3333 0.6667 0.2500
O1 0.0000 0.0000 0.2500
O2 0.3333 0.6667 0.0989
```

size of the total moment = 0.000 Bohr magnetons per cell



Which structure is most stable, and how do the rest compare? From most to least stable: *two*, *one*, *three*.



*one*
A plane-wave DFT calculation with GGA-PBE was carried out for ThTe2O6 after structural relaxation.

CIF file:
```
data_ThTe2O6
_chemical_formula_sum 'Th4 Te8 O24'
_symmetry_space_group_name_H-M 'P 1 21/c 1'
_symmetry_Int_Tables_number 14
_cell_length_a 7.2826
_cell_length_b 11.4197
_cell_length_c 8.7974
_cell_angle_alpha 90.00
_cell_angle_beta 124.88
_cell_angle_gamma 90.00
loop_
_symmetry_equiv_pos_as_xyz
'x,y,z'
'-x,-y,-z'
'-x,y+1/2,-z+1/2'
'x,-y+1/2,z+1/2'
loop_
_atom_site_label
_atom_site_fract_x
_atom_site_fract_y
_atom_site_fract_z
Th1 0.2462 0.0918 0.0051
Te1 0.2284 0.0779 0.4557
Te2 0.3059 0.7223 0.5666
O1 0.0233 0.0203 0.7057
O2 0.0715 0.2227 0.3823
O3 0.1116 0.5991 0.5421
O4 0.3581 0.0955 0.3188
O5 0.4667 0.7490 0.3243
O6 0.4957 0.5978 0.5854
```

size of the total moment = 0.000 Bohr magnetons per cell
D(E_F) = 0.000 states/eV/cell



*two*
A plane-wave DFT calculation with GGA-PBE was carried out for ThTe2O6 after structural relaxation.

CIF file:
```
data_ThTe2O6
_chemical_formula_sum 'Th4 Te8 O24'
_symmetry_space_group_name_H-M 'C 1 2/c 1'
_symmetry_Int_Tables_number 15
_cell_length_a 11.4689
_cell_length_b 8.1093
_cell_length_c 7.3880
_cell_angle_alpha 90.00
_cell_angle_beta 124.59
_cell_angle_gamma 90.00
loop_
_symmetry_equiv_pos_as_xyz
'x,y,z'
'-x,-y,-z'
'-x,y,-z+1/2'
'x,-y,z+1/2'
'x+1/2,y+1/2,z'
'-x+1/2,-y+1/2,-z'
'-x+1/2,y+1/2,-z+1/2'
'x+1/2,-y+1/2,z+1/2'
loop_
_atom_site_label
_atom_site_fract_x
_atom_site_fract_y
_atom_site_fract_z
Th1 0.0000 0.1637 0.2500
Te1 0.1773 0.4567 0.7556
O1 0.0836 0.3441 0.0980
O2 0.1291 0.0247 0.6004
O3 0.1912 0.3804 0.5152
```

size of the total moment = 0.000 Bohr magnetons per cell
D(E_F) = 0.000 states/eV/cell



Which structure is most stable, and how do the rest compare? From most to least stable: *one*, *two*.



*one*
A plane-wave DFT calculation with GGA-PBE was carried out for Ti2TeO after structural relaxation.

CIF file:
```
data_Ti2TeO
_chemical_formula_sum 'Ti8 Te4 O4'
_symmetry_space_group_name_H-M 'I -4 2 d'
_symmetry_Int_Tables_number 122
_symmetry_space_group_name_Hall 'I -4 2bw'
_cell_length_a 5.1319
_cell_length_b 5.1319
_cell_length_c 11.4708
_cell_angle_alpha 90.00
_cell_angle_beta 90.00
_cell_angle_gamma 90.00
loop_
_atom_site_label
_atom_site_fract_x
_atom_site_fract_y
_atom_site_fract_z
Ti1 0.1064 0.2500 0.1250
Te1 0.0000 0.0000 0.5000
O1 0.0000 0.0000 0.0000
```

size of the total moment = 0.000 Bohr magnetons per cell
D(E_F) = 6.109 states/eV/cell



*two*
A plane-wave DFT calculation with GGA-PBE was carried out for Ti2TeO after structural relaxation.

CIF file:
```
data_Ti2TeO
_chemical_formula_sum 'Ti8 Te4 O4'
_symmetry_space_group_name_H-M 'F m -3 m'
_symmetry_Int_Tables_number 225
_symmetry_space_group_name_Hall '-F 4 2 3'
_cell_length_a 6.2990
_cell_length_b 6.2990
_cell_length_c 6.2990
_cell_angle_alpha 90.00
_cell_angle_beta 90.00
_cell_angle_gamma 90.00
loop_
_atom_site_label
_atom_site_fract_x
_atom_site_fract_y
_atom_site_fract_z
Ti1 0.2500 0.2500 0.2500
Te1 0.0000 0.0000 0.0000
O1 0.0000 0.0000 0.5000
```

size of the total moment = 0.000 Bohr magnetons per cell
D(E_F) = 1.401 states/eV/cell



Which structure is most stable, and how do the rest compare? From most to least stable: *one*, *two*.



*one*
A plane-wave DFT calculation with GGA-PBE was carried out for TiTe3O after structural relaxation.

CIF file:
```
data_TiTe3O
_chemical_formula_sum 'Ti1 Te3 O1'
_symmetry_space_group_name_H-M 'P m -3 m'
_symmetry_Int_Tables_number 221
_symmetry_space_group_name_Hall '-P 4 2 3'
_cell_length_a 5.1770
_cell_length_b 5.1770
_cell_length_c 5.1770
_cell_angle_alpha 90.00
_cell_angle_beta 90.00
_cell_angle_gamma 90.00
loop_
_atom_site_label
_atom_site_fract_x
_atom_site_fract_y
_atom_site_fract_z
Ti1 0.0000 0.0000 0.0000
Te1 0.0000 0.0000 0.5000
O1 0.5000 0.5000 0.5000
```

size of the total moment = 0.000 Bohr magnetons per cell
D(E_F) = 8.307 states/eV/cell



*two*
A plane-wave DFT calculation with GGA-PBE was carried out for TiTe3O after structural relaxation.

CIF file:
```
data_TiTe3O
_chemical_formula_sum 'Ti1 Te3 O1'
_symmetry_space_group_name_H-M 'P m -3 m'
_symmetry_Int_Tables_number 221
_symmetry_space_group_name_Hall '-P 4 2 3'
_cell_length_a 4.7736
_cell_length_b 4.7736
_cell_length_c 4.7736
_cell_angle_alpha 90.00
_cell_angle_beta 90.00
_cell_angle_gamma 90.00
loop_
_atom_site_label
_atom_site_fract_x
_atom_site_fract_y
_atom_site_fract_z
Ti1 0.0000 0.0000 0.0000
Te1 0.0000 0.5000 0.5000
O1 0.5000 0.5000 0.5000
```

size of the total moment = 0.000 Bohr magnetons per cell
D(E_F) = 7.802 states/eV/cell



Which structure is most stable, and how do the rest compare? From most to least stable: *two*, *one*.



*one*
A plane-wave DFT calculation with GGA-PBE was carried out for TlTeO4 after structural relaxation.

CIF file:
```
data_TlTeO4
_chemical_formula_sum 'Tl2 Te2 O8'
_symmetry_space_group_name_H-M 'P 1 21/c 1'
_symmetry_Int_Tables_number 14
_cell_length_a 6.1125
_cell_length_b 5.0559
_cell_length_c 5.9167
_cell_angle_alpha 90.00
_cell_angle_beta 110.32
_cell_angle_gamma 90.00
loop_
_symmetry_equiv_pos_as_xyz
'x,y,z'
'-x,-y,-z'
'-x,y+1/2,-z+1/2'
'x,-y+1/2,z+1/2'
loop_
_atom_site_label
_atom_site_fract_x
_atom_site_fract_y
_atom_site_fract_z
Tl1 0.0000 0.0000 0.0000
Te1 0.5000 0.0000 0.5000
O1 0.1774 0.1600 0.3742
O2 0.3754 0.7182 0.6838
```

size of the total moment = 0.000 Bohr magnetons per cell
D(E_F) = 2.196 states/eV/cell



*two*
A plane-wave DFT calculation with GGA-PBE was carried out for TlTeO4 after structural relaxation.

CIF file:
```
data_TlTeO4
_chemical_formula_sum 'Tl4 Te4 O16'
_symmetry_space_group_name_H-M 'I 41 m d'
_symmetry_Int_Tables_number 109
_symmetry_space_group_name_Hall 'I 4bw -2'
_cell_length_a 7.0862
_cell_length_b 7.0862
_cell_length_c 6.8202
_cell_angle_alpha 90.00
_cell_angle_beta 90.00
_cell_angle_gamma 90.00
loop_
_atom_site_label
_atom_site_fract_x
_atom_site_fract_y
_atom_site_fract_z
Tl1 0.0000 0.0000 0.0000
Te1 0.0000 0.0000 0.5092
O1 0.0000 0.2952 0.5160
O2 0.0000 0.3155 0.9734
```

size of the total moment = 0.000 Bohr magnetons per cell
D(E_F) = 2.327 states/eV/cell



Which structure is most stable, and how do the rest compare? From most to least stable: *two*, *one*.



*one*
A plane-wave DFT calculation with GGA-PBE was carried out for Tl2TeO3 after structural relaxation.

CIF file:
```
data_Tl2TeO3
_chemical_formula_sum 'Tl16 Te8 O24'
_symmetry_space_group_name_H-M 'P b a n'
_symmetry_Int_Tables_number 50
_cell_length_a 12.2410
_cell_length_b 17.0621
_cell_length_c 5.4017
_cell_angle_alpha 90.00
_cell_angle_beta 90.00
_cell_angle_gamma 90.00
loop_
_symmetry_equiv_pos_as_xyz
'x,y,z'
'-x,-y,-z'
'-x+1/2,-y+1/2,z'
'x+1/2,y+1/2,-z'
'x,-y+1/2,-z'
'-x,y+1/2,z'
'-x+1/2,y,-z'
'x+1/2,-y,z'
loop_
_atom_site_label
_atom_site_fract_x
_atom_site_fract_y
_atom_site_fract_z
Tl1 0.1232 0.1703 0.2452
Tl2 0.1294 0.5006 0.2421
Te1 0.0897 0.6574 0.7198
O1 0.0575 0.1865 0.7820
O2 0.0771 0.5492 0.7968
O3 0.0813 0.6507 0.3691
```

size of the total moment = 0.000 Bohr magnetons per cell
D(E_F) = 0.000 states/eV/cell



*two*
A plane-wave DFT calculation with GGA-PBE was carried out for Tl2TeO3 after structural relaxation.

CIF file:
```
data_Tl2TeO3
_chemical_formula_sum 'Tl8 Te4 O12'
_symmetry_space_group_name_H-M 'C m c m'
_symmetry_Int_Tables_number 63
_symmetry_space_group_name_Hall '-C 2c 2'
_cell_length_a 10.7160
_cell_length_b 6.9510
_cell_length_c 6.5555
_cell_angle_alpha 90.00
_cell_angle_beta 90.00
_cell_angle_gamma 90.00
loop_
_atom_site_label
_atom_site_fract_x
_atom_site_fract_y
_atom_site_fract_z
Tl1 0.1695 0.0799 0.2500
Te1 0.0000 0.4847 0.7500
O1 0.0000 0.2142 0.7500
O2 0.1385 0.5000 0.0000
```

size of the total moment = 0.000 Bohr magnetons per cell



Which structure is most stable, and how do the rest compare? From most to least stable: *one*, *two*.



*one*
A plane-wave DFT calculation with GGA-PBE was carried out for Tl2TeO2 after structural relaxation.

CIF file:
```
data_Tl2TeO2
_chemical_formula_sum 'Tl4 Te2 O4'
_symmetry_space_group_name_H-M 'P 4/m b m'
_symmetry_Int_Tables_number 127
_symmetry_space_group_name_Hall '-P 4 2ab'
_cell_length_a 6.2470
_cell_length_b 6.2470
_cell_length_c 5.3537
_cell_angle_alpha 90.00
_cell_angle_beta 90.00
_cell_angle_gamma 90.00
loop_
_atom_site_label
_atom_site_fract_x
_atom_site_fract_y
_atom_site_fract_z
Tl1 0.1802 0.3198 0.0000
Te1 0.0000 0.0000 0.5000
O1 0.2466 0.2534 0.5000
```

size of the total moment = 0.000 Bohr magnetons per cell
D(E_F) = 1.477 states/eV/cell



*two*
A plane-wave DFT calculation with GGA-PBE was carried out for Tl2TeO2 after structural relaxation.

CIF file:
```
data_Tl2TeO2
_chemical_formula_sum 'Tl4 Te2 O4'
_symmetry_space_group_name_H-M 'I 4/m m m'
_symmetry_Int_Tables_number 139
_symmetry_space_group_name_Hall '-I 4 2'
_cell_length_a 5.0100
_cell_length_b 5.0100
_cell_length_c 9.3041
_cell_angle_alpha 90.00
_cell_angle_beta 90.00
_cell_angle_gamma 90.00
loop_
_atom_site_label
_atom_site_fract_x
_atom_site_fract_y
_atom_site_fract_z
Tl1 0.0000 0.5000 0.2500
Te1 0.0000 0.0000 0.0000
O1 0.0000 0.0000 0.2527
```

size of the total moment = 0.000 Bohr magnetons per cell
D(E_F) = 6.489 states/eV/cell



Which structure is most stable, and how do the rest compare? From most to least stable: *one*, *two*.



*one*
A plane-wave DFT calculation with GGA-PBE was carried out for Tl2TeO after structural relaxation.

CIF file:
```
data_Tl2TeO
_chemical_formula_sum 'Tl8 Te4 O4'
_symmetry_space_group_name_H-M 'F m -3 m'
_symmetry_Int_Tables_number 225
_symmetry_space_group_name_Hall '-F 4 2 3'
_cell_length_a 7.2775
_cell_length_b 7.2775
_cell_length_c 7.2775
_cell_angle_alpha 90.00
_cell_angle_beta 90.00
_cell_angle_gamma 90.00
loop_
_atom_site_label
_atom_site_fract_x
_atom_site_fract_y
_atom_site_fract_z
Tl1 0.2500 0.2500 0.2500
Te1 0.0000 0.0000 0.0000
O1 0.0000 0.0000 0.5000
```

size of the total moment = 0.000 Bohr magnetons per cell
D(E_F) = 13.298 states/eV/cell



*two*
A plane-wave DFT calculation with GGA-PBE was carried out for Tl2TeO after structural relaxation.

CIF file:
```
data_Tl2TeO
_chemical_formula_sum 'Tl8 Te4 O4'
_symmetry_space_group_name_H-M 'I -4 2 d'
_symmetry_Int_Tables_number 122
_symmetry_space_group_name_Hall 'I -4 2bw'
_cell_length_a 6.8204
_cell_length_b 6.8204
_cell_length_c 9.9518
_cell_angle_alpha 90.00
_cell_angle_beta 90.00
_cell_angle_gamma 90.00
loop_
_atom_site_label
_atom_site_fract_x
_atom_site_fract_y
_atom_site_fract_z
Tl1 0.1687 0.2500 0.1250
Te1 0.0000 0.0000 0.5000
O1 0.0000 0.0000 0.0000
```

size of the total moment = 0.000 Bohr magnetons per cell
D(E_F) = 0.172 states/eV/cell



Which structure is most stable, and how do the rest compare? From most to least stable: *two*, *one*.